1.
A relaxed structure of TbPrP2. Source: Alexandria via LeMat-Bulk, functional PBE-GGA.

For the energy of formation from the pure elements, the calculation gives -132.86 kJ/mol of atoms. The value obtained for the density of states at the Fermi level is 0.92 states/eV per cell. The final energy comes out at -6.43 eV/atom. The relative energy among the computed polymorphs comes out at 179 meV/atom.

The space group is R3m (No. 160, hexagonal axes) and the conventional cell measures 4.0763, 4.0763 and 21.0167 Å, with angles of 90.00, 90.00 and 120.00 degrees. The inequivalent atoms are Tb at (0.0000, 0.0000, 0.0000), Pr at (0.0000, 0.0000, 0.8284), P at (0.0000, 0.0000, 0.2505) and P at (0.0000, 0.0000, 0.4124).



2.
A relaxed structure of Tb2PrP3. Source: Alexandria via LeMat-Bulk, functional PBE-GGA.

For the energy of formation from the pure elements, the calculation gives -151.22 kJ/mol of atoms. The value obtained for the density of states at the Fermi level is 1.54 states/eV per cell. The final energy comes out at -6.61 eV/atom.

The space group is Immm (No. 71) and the conventional cell measures 4.091, 5.786 and 12.259 Å, with angles of 90.00, 90.00 and 90.00 degrees. The inequivalent atoms are Tb at (0.000, 0.000, 0.166), Pr at (0.000, 0.000, 0.500), P at (0.000, 0.500, 0.172) and P at (0.000, 0.500, 0.500).



3.
A relaxed structure of TbPrP2. Source: Alexandria via LeMat-Bulk, functional PBE-GGA.

For the energy of formation from the pure elements, the calculation gives -150.15 kJ/mol of atoms. The value obtained for the density of states at the Fermi level is 1.20 states/eV per cell. The final energy comes out at -6.61 eV/atom. The relative energy among the computed polymorphs comes out at 0 meV/atom.

The space group is R-3m (No. 166, hexagonal axes) and the conventional cell measures 4.1201, 4.1201 and 20.1473 Å, with angles of 90.00, 90.00 and 120.00 degrees. The inequivalent atoms are Tb at (0.0000, 0.0000, 0.0000), Pr at (0.0000, 0.0000, 0.5000) and P at (0.0000, 0.0000, 0.2535).



4.
A relaxed structure of TbPrP. Source: Alexandria via LeMat-Bulk, functional PBE-GGA.

For the energy of formation from the pure elements, the calculation gives -89.59 kJ/mol of atoms. The value obtained for the density of states at the Fermi level is 3.16 states/eV per cell. The final energy comes out at -5.87 eV/atom.

The space group is P3m1 (No. 156) and the conventional cell measures 3.9821, 3.9821 and 6.6505 Å, with angles of 90.00, 90.00 and 120.00 degrees. The inequivalent atoms are Tb at (0.0000, 0.0000, 0.0000), Pr at (0.6667, 0.3333, 0.5105) and P at (0.3333, 0.6667, 0.7692).



5.
A relaxed structure of Tb3Pr2P4. Source: Alexandria via LeMat-Bulk, functional PBE-GGA.

For the energy of formation from the pure elements, the calculation gives -134.96 kJ/mol of atoms. The value obtained for the density of states at the Fermi level is 11.57 states/eV per cell. The final energy comes out at -6.41 eV/atom.

The space group is C2/m (No. 12) and the conventional cell measures 13.419, 4.048 and 9.960 Å, with angles of 90.00, 118.72 and 90.00 degrees. The inequivalent atoms are Tb at (0.000, 0.000, 0.000), Tb at (0.206, 0.000, 0.813), Pr at (0.101, 0.500, 0.395), P at (0.102, 0.500, 0.902) and P at (0.202, 0.000, 0.296).



6.
A relaxed structure of Tb2PrP. Source: Alexandria via LeMat-Bulk, functional PBE-GGA.

For the energy of formation from the pure elements, the calculation gives -53.55 kJ/mol of atoms. The value obtained for the density of states at the Fermi level is 15.09 states/eV per cell. The final energy comes out at -5.42 eV/atom.

The space group is R-3m (No. 166, hexagonal axes) and the conventional cell measures 3.7710, 3.7710 and 31.0200 Å, with angles of 90.00, 90.00 and 120.00 degrees. The inequivalent atoms are Tb at (0.0000, 0.0000, 0.1143), Pr at (0.0000, 0.0000, 0.0000) and P at (0.0000, 0.0000, 0.5000).